PBE K2GaReSi, optimized geometry; formation energy from raw total energies = 1474 meV/atom; VASP energy = -3.145 eV/atom; spin magnetization = 5.2 Bohr magnetons per cell; crystal system = tetragonal; symmetry = P4/mmm (123)
1.0
6.519 0.000 0.000
0.000 6.519 0.000
0.000 0.000 4.886
K Ga Re Si
2 1 1 1
Cartesian
0.000 3.259 0.000
3.259 0.000 0.000
0.000 0.000 2.443
0.000 0.000 0.000
3.259 3.259 2.443

---

PBE KGa2ReSn, optimized geometry; VASP energy = -4.778 eV/atom; spin magnetization = 0.0 Bohr magnetons per cell; energy of formation from the pure elements = -0.06 eV/atom; crystal system = tetragonal; symmetry = P4/mmm (123)
1.0
4.994 0.000 0.000
0.000 4.994 0.000
0.000 0.000 5.164
K Ga Re Sn
1 2 1 1
Cartesian
0.000 0.000 0.000
0.000 2.497 2.582
2.497 0.000 2.582
2.497 2.497 2.582
2.497 2.497 0.000